! Pr4PuSe7 PBE relaxed; values from VASP
! SG = Cm, No. 8
&SYSTEM
  ibrav = 0, nat = 12, ntyp = 3
/
ATOMIC_SPECIES
Se 78.96 Se.upf
Pr 140.91 Pr.upf
Pu 244.00 Pu.upf
ATOMIC_POSITIONS angstrom
Se 5.421 -5.050 8.977
Se 6.804 -3.213 2.842
Se 2.826 -3.925 1.943
Se 4.141 -3.519 5.945
Se 1.484 -3.737 8.805
Se 5.408 -3.676 -0.935
Se 1.470 -2.376 -1.072
Pr 1.976 -2.204 4.250
Pr 4.015 -1.434 0.432
Pr 2.882 -5.989 7.460
Pr 6.893 -7.418 7.882
Pu 4.915 -5.234 3.685
CELL_PARAMETERS angstrom
-1.182 -3.727 -1.383
6.804 0.998 -2.289
1.275 -4.698 11.573

***

! Pr5PuSe8 PBE relaxed; values from VASP
! SG = I-4, No. 82
&SYSTEM
  ibrav = 0, nat = 14, ntyp = 3
/
ATOMIC_SPECIES
Pr 140.91 Pr.upf
Se 78.96 Se.upf
Pu 244.00 Pu.upf
ATOMIC_POSITIONS angstrom
Pr 3.197 5.559 -2.594
Pr 3.645 0.000 2.607
Pr 3.221 3.970 1.324
Pr 2.224 0.797 6.471
Pr -1.351 2.387 0.013
Se 1.291 3.804 -1.027
Se 4.762 1.586 0.267
Se 6.741 0.653 2.863
Se -1.853 4.771 1.813
Se 1.096 1.592 1.587
Se -1.789 4.764 -2.083
Se 3.091 2.553 4.160
Se 1.243 5.703 2.846
Pu -0.026 3.178 3.889
CELL_PARAMETERS angstrom
7.343 0.000 -2.564
-3.645 6.356 -2.607
-0.052 0.000 7.777

***

! PrPu6Se8 PBE relaxed; values from VASP
! SG = Fm-3m, No. 225
&SYSTEM
  ibrav = 0, nat = 15, ntyp = 3
/
ATOMIC_SPECIES
Pu 244.00 Pu.upf
Se 78.96 Se.upf
Pr 140.91 Pr.upf
ATOMIC_POSITIONS angstrom
Pu 4.800 3.394 4.157
Pu 1.200 3.394 6.235
Pu 1.200 3.394 2.078
Pu 3.600 0.000 6.235
Pu 0.000 0.000 4.157
Pu 3.600 0.000 2.078
Se 5.975 1.731 10.350
Se 5.975 1.731 6.276
Se 3.624 5.057 6.276
Se 2.448 1.731 8.313
Se 3.624 5.057 10.350
Se 2.400 1.697 4.157
Se 7.199 5.091 12.470
Se 7.151 5.057 8.313
Pr 0.000 0.000 0.000
CELL_PARAMETERS angstrom
7.199 0.000 4.157
2.400 6.788 4.157
0.000 0.000 8.313

***

! Pr6PuSe8 PBE relaxed; values from VASP
! SG = Fm-3m, No. 225
&SYSTEM
  ibrav = 0, nat = 15, ntyp = 3
/
ATOMIC_SPECIES
Se 78.96 Se.upf
Pr 140.91 Pr.upf
Pu 244.00 Pu.upf
ATOMIC_POSITIONS angstrom
Se 3.670 5.219 6.357
Se 6.143 1.721 6.357
Se 2.453 1.735 4.249
Se 2.434 1.721 8.499
Se 7.360 5.205 12.748
Se 3.670 5.219 10.641
Se 6.143 1.721 10.641
Se 7.380 5.219 8.499
Pr 0.000 0.000 4.249
Pr 1.227 3.470 2.125
Pr 4.907 3.470 4.249
Pr 1.227 3.470 6.374
Pr 3.680 0.000 2.125
Pr 3.680 0.000 6.374
Pu 0.000 0.000 0.000
CELL_PARAMETERS angstrom
7.360 0.000 4.249
2.453 6.939 4.249
0.000 0.000 8.499

***

no.,total moment (μB per atom),final energy (eV/atom),ΔE_f (raw) (eV/atom)
1,0.470,-6.619,-1.80
2,0.474,-6.552,-1.83
3,2.291,-9.488,-1.58
4,0.417,-6.551,-1.83